(1)
This record from OQMD via LeMat-Bulk describes a relaxed GeW2C crystal. The functional is PBE.

a = 3.1658 Å, b = 3.1658 Å, c = 12.4997 Å
α = 90.00°, β = 90.00°, γ = 120.00°
Last column: nearest neighbours and their distance in Å.
Space group P6_3/mmc (No. 194)
Unique sites:
Ge: 0.3333 0.6667 0.2500  6 W 2.71
W: 0.3333 0.6667 0.5899  3 C 2.15
C: 0.0000 0.0000 0.0000  6 W 2.15

Computed properties:
calculated volume = 13.562 Å³ per atom
total DFT energy (no corrections) = -78.17 eV per cell
density = 13.846 Mg/m³

=====

(2)
This record from OQMD via LeMat-Bulk describes a relaxed CdBiMo2 crystal. The functional is PBE.

a = 6.7927 Å, b = 6.7927 Å, c = 6.7927 Å
α = 90.00°, β = 90.00°, γ = 90.00°
Last column: nearest neighbours and their distance in Å.
Space group F-43m (No. 216)
Unique sites:
Cd: 0.0000 0.0000 0.0000  4 Mo 2.94, 4 Bi 2.94
Bi: 0.2500 0.2500 0.7500  4 Cd 2.94, 4 Mo 2.94
Mo: 0.0000 0.0000 0.5000  4 Bi 2.94, 4 Mo 2.94
Mo: 0.2500 0.2500 0.2500  4 Cd 2.94, 4 Mo 2.94

Computed properties:
calculated volume = 19.589 Å³ per atom
total DFT energy (no corrections) = -93.73 eV per cell
density = 10.877 Mg/m³

=====

(3)
This record from OQMD via LeMat-Bulk describes a relaxed CsMgNbPd crystal. The functional is PBE.

a = 7.3167 Å, b = 7.3167 Å, c = 7.3167 Å
α = 90.00°, β = 90.00°, γ = 90.00°
Last column: nearest neighbours and their distance in Å.
Space group F-43m (No. 216)
Unique sites:
Cs: 0.0000 0.0000 0.0000  4 Nb 3.17, 4 Pd 3.17
Mg: 0.0000 0.0000 0.5000  4 Pd 3.17, 4 Nb 3.17
Nb: 0.2500 0.2500 0.7500  4 Mg 3.17, 4 Cs 3.17
Pd: 0.2500 0.2500 0.2500  4 Mg 3.17, 4 Cs 3.17

Computed properties:
calculated volume = 24.481 Å³ per atom
total DFT energy (no corrections) = -53.01 eV per cell
density = 6.046 Mg/m³

=====

(4)
This record from OQMD via LeMat-Bulk describes a relaxed HoBNO crystal. The functional is PBE.

a = 4.7242 Å, b = 4.7242 Å, c = 4.4049 Å
α = 90.00°, β = 90.00°, γ = 90.00°
Last column: nearest neighbours and their distance in Å.
Space group P4/nmm (No. 129, origin choice 2)
Unique sites:
Ho: 0.2500 0.7500 0.0000  2 O 2.20, 4 N 2.40
B: 0.2500 0.2500 0.4083  1 N 1.37
N: 0.2500 0.2500 0.0981  1 B 1.37
O: 0.2500 0.7500 0.5000  2 Ho 2.20, 4 B 2.40

Computed properties:
calculated volume = 12.289 Å³ per atom
total DFT energy (no corrections) = -56.97 eV per cell
density = 6.951 Mg/m³

=====

(5)
This record from OQMD via LeMat-Bulk describes a relaxed TmCdOs crystal. The functional is PBE.

a = 6.5778 Å, b = 6.5778 Å, c = 6.5778 Å
α = 90.00°, β = 90.00°, γ = 90.00°
Last column: nearest neighbours and their distance in Å.
Space group F-43m (No. 216)
Unique sites:
Tm: 0.0000 0.0000 0.0000  4 Cd 2.85, 4 Os 2.85
Cd: 0.2500 0.2500 0.7500  4 Tm 2.85
Os: 0.2500 0.2500 0.2500  4 Tm 2.85

Computed properties:
energy of formation from the pure elements = 18.6 kcal/mol of atoms
calculated volume = 23.717 Å³ per atom
density = 11.006 Mg/m³

=====

(6)
This record from OQMD via LeMat-Bulk describes a relaxed Hf2FeW crystal. The functional is PBE.

a = 6.4387 Å, b = 6.4387 Å, c = 6.4387 Å
α = 90.00°, β = 90.00°, γ = 90.00°
Last column: nearest neighbours and their distance in Å.
Space group F-43m (No. 216)
Unique sites:
Hf: 0.0000 0.0000 0.0000  4 Fe 2.79, 4 Hf 2.79
Hf: 0.2500 0.2500 0.2500  4 Hf 2.79, 4 W 2.79
Fe: 0.2500 0.2500 0.7500  4 Hf 2.79, 4 W 2.79
W: 0.0000 0.0000 0.5000  4 Hf 2.79, 4 Fe 2.79

Computed properties:
energy of formation from the pure elements = 5.5 kcal/mol of atoms
calculated volume = 16.683 Å³ per atom
density = 14.847 Mg/m³

=====

(7)
This record from OQMD via LeMat-Bulk describes a relaxed YBe2Os crystal. The functional is PBE.

a = 6.2576 Å, b = 6.2576 Å, c = 6.2576 Å
α = 90.00°, β = 90.00°, γ = 90.00°
Last column: nearest neighbours and their distance in Å.
Space group F-43m (No. 216)
Unique sites:
Y: 0.0000 0.0000 0.0000  4 Os 2.71, 4 Be 2.71
Be: 0.0000 0.0000 0.5000  4 Os 2.71, 4 Be 2.71
Be: 0.2500 0.2500 0.2500  4 Be 2.71, 4 Y 2.71
Os: 0.2500 0.2500 0.7500  4 Be 2.71, 4 Y 2.71

Computed properties:
calculated volume = 15.314 Å³ per atom
total DFT energy (no corrections) = -94.01 eV per cell
density = 8.055 Mg/m³

=====

(8)
This record from OQMD via LeMat-Bulk describes a relaxed GaFeHg crystal. The functional is PBE.

a = 6.1180 Å, b = 6.1180 Å, c = 6.1180 Å
α = 90.00°, β = 90.00°, γ = 90.00°
Last column: nearest neighbours and their distance in Å.
Space group F-43m (No. 216)
Unique sites:
Ga: 0.0000 0.0000 0.0000  4 Fe 2.65
Fe: 0.2500 0.2500 0.2500  4 Hg 2.65, 4 Ga 2.65
Hg: 0.0000 0.0000 0.5000  4 Fe 2.65

Computed properties:
calculated volume = 19.083 Å³ per atom
total DFT energy (no corrections) = -42.19 eV per cell
density = 9.460 Mg/m³

=====

(9)
This record from OQMD via LeMat-Bulk describes a relaxed Cs2TlAgBr6 crystal. The functional is PBE.

a = 7.9468 Å, b = 7.9468 Å, c = 19.5082 Å
α = 90.00°, β = 90.00°, γ = 120.00°
Last column: nearest neighbours and their distance in Å.
Space group R-3 (No. 148, hexagonal axes)
Unique sites:
Cs: 0.0000 0.0000 0.2503  12 Br 3.96-3.98
Tl: 0.0000 0.0000 0.5000  6 Br 2.85
Ag: 0.0000 0.0000 0.0000  6 Br 2.78
Br: 0.0043 0.5009 0.7491  1 Ag 2.78, 1 Tl 2.85

Computed properties:
calculated volume = 35.564 Å³ per atom
total DFT energy (no corrections) = -81.45 eV per cell
density = 4.938 Mg/m³

=====

(10)
This record from OQMD via LeMat-Bulk describes a relaxed TlTcAgSeS2 crystal. The functional is PBE.

a = 3.4782 Å, b = 15.8650 Å, c = 9.9062 Å
α = 90.00°, β = 90.00°, γ = 90.00°
Last column: nearest neighbours and their distance in Å.
Space group Cmcm (No. 63)
Unique sites:
Tl: 0.0000 0.1884 0.2500  2 Se 2.96, 2 Ag 2.98, 2 S 2.99
Tc: 0.0000 0.5000 0.0000  4 S 2.42, 2 Se 2.55
Ag: 0.0000 0.1594 0.7500  2 S 2.42
Se: 0.0000 0.4628 0.7500  2 Tc 2.55
S: 0.0000 0.1053 0.5212  2 Tc 2.42, 1 Ag 2.42

Computed properties:
calculated volume = 22.776 Å³ per atom
total DFT energy (no corrections) = -112.68 eV per cell
density = 6.724 Mg/m³

=====

(11)
This record from OQMD via LeMat-Bulk describes a relaxed HfInPt2 crystal. The functional is PBE.

a = 6.5924 Å, b = 6.5924 Å, c = 6.5924 Å
α = 90.00°, β = 90.00°, γ = 90.00°
Last column: nearest neighbours and their distance in Å.
Space group F-43m (No. 216)
Unique sites:
Hf: 0.0000 0.0000 0.0000  4 In 2.85, 4 Pt 2.85
In: 0.2500 0.2500 0.7500  4 Hf 2.85, 4 Pt 2.85
Pt: 0.0000 0.0000 0.5000  4 In 2.85, 4 Pt 2.85
Pt: 0.2500 0.2500 0.2500  4 Hf 2.85, 4 Pt 2.85

Computed properties:
calculated volume = 17.906 Å³ per atom
total DFT energy (no corrections) = -107.46 eV per cell
density = 15.845 Mg/m³

=====

(12)
This record from OQMD via LeMat-Bulk describes a relaxed Na2Y2In2CuAu crystal. The functional is PBE.

a = 4.9280 Å, b = 4.9280 Å, c = 7.0033 Å
α = 90.00°, β = 90.00°, γ = 90.00°
Last column: nearest neighbours and their distance in Å.
Space group P-4m2 (No. 115)
Unique sites:
Na: 0.0000 0.0000 0.0000  4 Y 3.05, 4 In 3.06
Na: 0.5000 0.5000 0.5000  4 In 2.99, 4 Y 3.00
Y: 0.0000 0.5000 0.7442  4 Na 3.00-3.05, 2 Cu 3.00, 2 Au 3.05
In: 0.0000 0.5000 0.2587  4 Na 2.99-3.06, 2 Cu 2.99, 2 Au 3.06
Cu: 0.0000 0.0000 0.5000  4 In 2.99, 4 Y 3.00
Au: 0.5000 0.5000 0.0000  4 Y 3.05, 4 In 3.06

Computed properties:
calculated volume = 21.260 Å³ per atom
total DFT energy (no corrections) = -30.28 eV per cell
density = 6.971 Mg/m³

=====

(13)
This record from OQMD via LeMat-Bulk describes a relaxed CoCuB4 crystal. The functional is PBE.

a = 2.9845 Å, b = 5.1631 Å, c = 6.2943 Å
α = 90.00°, β = 90.00°, γ = 90.00°
Last column: nearest neighbours and their distance in Å.
Space group Immm (No. 71)
Unique sites:
Co: 0.0000 0.0000 0.0000  12 B 2.31-2.36
Cu: 0.0000 0.0000 0.5000  12 B 2.32-2.35
B: 0.0000 0.3347 0.2542  3 B 1.71-1.73

Computed properties:
calculated volume = 8.083 Å³ per atom
total DFT energy (no corrections) = -72.03 eV per cell
density = 5.675 Mg/m³

=====

(14)
This record from OQMD via LeMat-Bulk describes a relaxed AgAsPdO crystal. The functional is PBE.

a = 4.1096 Å, b = 4.1096 Å, c = 6.6368 Å
α = 90.00°, β = 90.00°, γ = 90.00°
Last column: nearest neighbours and their distance in Å.
Space group P4/nmm (No. 129, origin choice 2)
Unique sites:
Ag: 0.2500 0.2500 0.1884  4 O 2.41
As: 0.2500 0.2500 0.7496  4 Pd 2.64, 4 O 2.64, 5 Ag 2.91-2.93
Pd: 0.2500 0.7500 0.5000  4 As 2.64, 4 Pd 2.91, 4 Ag 2.92
O: 0.2500 0.7500 0.0000  4 Ag 2.41, 4 As 2.64

Computed properties:
calculated volume = 14.011 Å³ per atom
total DFT energy (no corrections) = -35.71 eV per cell
density = 9.043 Mg/m³

=====

(15)
This record from OQMD via LeMat-Bulk describes a relaxed ErMgAu crystal. The functional is PBE.

a = 6.8097 Å, b = 6.8097 Å, c = 6.8097 Å
α = 90.00°, β = 90.00°, γ = 90.00°
Last column: nearest neighbours and their distance in Å.
Space group F-43m (No. 216)
Unique sites:
Er: 0.0000 0.0000 0.0000  4 Mg 2.95, 4 Au 2.95
Mg: 0.2500 0.2500 0.2500  4 Er 2.95
Au: 0.2500 0.2500 0.7500  4 Er 2.95

Computed properties:
calculated volume = 26.315 Å³ per atom
total DFT energy (no corrections) = -37.19 eV per cell
density = 8.173 Mg/m³

=====

(16)
This record from OQMD via LeMat-Bulk describes a relaxed CsCdFeTe3 crystal. The functional is PBE.

a = 9.0284 Å, b = 4.0724 Å, c = 12.1415 Å
α = 90.00°, β = 110.99°, γ = 90.00°
Last column: nearest neighbours and their distance in Å.
Space group P2_1/m (No. 11)
Unique sites:
Cs: 0.0210 0.2500 0.2761  7 Te 3.81-4.23, 2 Cs 4.07
Cd: 0.4655 0.7500 0.3733  4 Te 2.87-2.93
Fe: 0.4468 0.2500 0.0924  5 Te 2.56-2.69
Te: 0.2739 0.7500 0.1273  2 Fe 2.69, 1 Cd 2.87
Te: 0.2974 0.7500 0.5397  3 Cd 2.87-2.93
Te: 0.3559 0.2500 0.8667  3 Fe 2.56-2.63

Computed properties:
calculated volume = 34.732 Å³ per atom
total DFT energy (no corrections) = -43.26 eV per cell
density = 5.450 Mg/m³

=====

(17)
This record from OQMD via LeMat-Bulk describes a relaxed Sc4FeNiC2 crystal. The functional is PBE.

a = 3.2735 Å, b = 3.2735 Å, c = 13.3039 Å
α = 90.00°, β = 90.00°, γ = 120.00°
Last column: nearest neighbours and their distance in Å.
Space group P-6m2 (No. 187)
Unique sites:
Sc: 0.0000 0.0000 0.1475  3 C 2.27
Sc: 0.6667 0.3333 0.3363  3 C 2.27
Fe: 0.0000 0.0000 0.5000  6 Sc 2.88
Ni: 0.6667 0.3333 0.0000  6 Sc 2.72
C: 0.3333 0.6667 0.2423  6 Sc 2.27

Computed properties:
calculated volume = 15.433 Å³ per atom
total DFT energy (no corrections) = -59.16 eV per cell
density = 4.282 Mg/m³

=====

(18)
This record from OQMD via LeMat-Bulk describes a relaxed CoNi crystal. The functional is PBE.

a = 2.4806 Å, b = 2.4806 Å, c = 4.0333 Å
α = 90.00°, β = 90.00°, γ = 120.00°
Last column: nearest neighbours and their distance in Å.
Space group P-6m2 (No. 187)
Unique sites:
Co: 0.0000 0.0000 0.0000  6 Ni 2.47, 6 Co 2.48
Ni: 0.6667 0.3333 0.5000  6 Co 2.47, 6 Ni 2.48

Computed properties:
energy of formation from the pure elements = 0.0 kcal/mol of atoms
calculated volume = 10.747 Å³ per atom
density = 9.088 Mg/m³

=====

(19)
This record from OQMD via LeMat-Bulk describes a relaxed Na4Pt3 crystal. The functional is PBE.

a = 4.8494 Å, b = 10.0053 Å, c = 13.0429 Å
α = 90.00°, β = 90.00°, γ = 90.00°
Last column: nearest neighbours and their distance in Å.
Space group Cmcm (No. 63)
Unique sites:
Na: 0.0000 0.0000 0.0000  4 Pt 2.75
Na: 0.0000 0.0007 0.2500  7 Pt 2.98-3.31, 4 Na 3.26-3.31
Na: 0.0000 0.2802 0.6166  4 Pt 2.90-3.09, 1 Na 3.19
Pt: 0.0000 0.2987 0.2500  2 Pt 2.53
Pt: 0.0000 0.4326 0.0853  2 Pt 2.53-2.60, 2 Na 2.75

Computed properties:
calculated volume = 22.601 Å³ per atom
total DFT energy (no corrections) = -96.75 eV per cell
density = 7.108 Mg/m³

=====

(20)
This record from OQMD via LeMat-Bulk describes a relaxed HoEr2Zn3CuIr2 crystal. The functional is PBE.

a = 3.7906 Å, b = 12.3783 Å, c = 7.1448 Å
α = 90.00°, β = 90.00°, γ = 90.00°
Last column: nearest neighbours and their distance in Å.
Space group Amm2 (No. 38)
Unique sites:
Ho: 0.0000 0.0000 0.0000  4 Ir 2.87, 1 Cu 2.94, 6 Zn 3.09-3.19
Er: 0.0000 0.2054 0.3836  4 Ir 2.87, 1 Cu 2.94, 6 Zn 3.09-3.19
Zn: 0.5000 0.0000 0.3422  2 Cu 2.59, 2 Ir 2.74
Zn: 0.5000 0.1235 0.7125  2 Cu 2.59, 2 Ir 2.74
Cu: 0.0000 0.0000 0.5891  6 Zn 2.59
Ir: 0.5000 0.1668 0.0891  3 Zn 2.74, 4 Er 2.87, 2 Ho 2.87

Computed properties:
energy of formation from the pure elements = -14.1 kcal/mol of atoms
calculated volume = 18.625 Å³ per atom
density = 11.330 Mg/m³